# 1
# V2HgRh2

A relaxed V2HgRh2 crystal (PBE, Alexandria via LeMat-Bulk). Values from VASP.

```
&SYSTEM
  ibrav = 0, nat = 5, ntyp = 3
/
ATOMIC_SPECIES
V 50.94 V.upf
Hg 200.59 Hg.upf
Rh 102.91 Rh.upf
ATOMIC_POSITIONS angstrom
V 2.060 0.000 2.526
V 0.000 2.060 2.526
Hg 0.000 0.000 0.000
Rh 0.000 0.000 3.787
Rh 0.000 0.000 6.318
CELL_PARAMETERS angstrom
-2.060 2.060 5.052
2.060 -2.060 5.052
2.060 2.060 -5.052
```

- SG: I4/mmm, No. 139
- Fermi-level density of states: 2.380 states/eV/f.u.
- Energy above the lowest structure with this stoichiometry: 0.169 eV/atom
- Magnetization: 0.00 μB/cell



# 2
# VHgRh

A relaxed VHgRh crystal (PBE, Alexandria via LeMat-Bulk). Values from VASP.

```
&SYSTEM
  ibrav = 0, nat = 3, ntyp = 3
/
ATOMIC_SPECIES
V 50.94 V.upf
Hg 200.59 Hg.upf
Rh 102.91 Rh.upf
ATOMIC_POSITIONS angstrom
V 0.000 0.000 0.000
Hg 0.000 0.000 2.884
Rh 0.000 0.000 5.748
CELL_PARAMETERS angstrom
-1.482 1.794 4.598
1.482 -1.794 4.598
1.482 1.794 -4.598
```

- SG: Imm2, No. 44
- Fermi-level density of states: 2.125 states/eV/f.u.
- Energy above the lowest structure with this stoichiometry: 0.019 eV/atom
- Magnetization: 1.20 μB/cell



# 3
# VHgRh2

A relaxed VHgRh2 crystal (PBE, Alexandria via LeMat-Bulk). Values from VASP.

```
&SYSTEM
  ibrav = 0, nat = 4, ntyp = 3
/
ATOMIC_SPECIES
V 50.94 V.upf
Hg 200.59 Hg.upf
Rh 102.91 Rh.upf
ATOMIC_POSITIONS angstrom
V 0.000 0.000 0.000
Hg 0.000 0.000 3.731
Rh 1.448 1.448 1.588
Rh 1.448 1.448 5.873
CELL_PARAMETERS angstrom
2.895 0.000 0.000
0.000 2.895 0.000
0.000 0.000 7.461
```

- SG: P4/mmm, No. 123
- Fermi-level density of states: 3.193 states/eV/f.u.
- Magnetization: 0.70 μB/cell



# 4
# VHgRh2

A relaxed VHgRh2 crystal (PBE, Alexandria via LeMat-Bulk). Values from VASP.

```
&SYSTEM
  ibrav = 0, nat = 4, ntyp = 3
/
ATOMIC_SPECIES
V 50.94 V.upf
Hg 200.59 Hg.upf
Rh 102.91 Rh.upf
ATOMIC_POSITIONS angstrom
V 0.000 0.000 0.000
Hg 0.000 0.000 13.529
Rh 0.000 0.000 7.036
Rh 0.000 0.000 20.023
CELL_PARAMETERS angstrom
1.419 0.819 9.020
-1.419 0.819 9.020
0.000 -1.638 9.020
```

- SG: R-3m, No. 166
- Fermi-level density of states: 4.286 states/eV/f.u.
- Magnetization: 0.00 μB/cell



# 5
# VHg2Rh

A relaxed VHg2Rh crystal (PBE, Alexandria via LeMat-Bulk). Values from VASP.

```
&SYSTEM
  ibrav = 0, nat = 8, ntyp = 3
/
ATOMIC_SPECIES
V 50.94 V.upf
Hg 200.59 Hg.upf
Rh 102.91 Rh.upf
ATOMIC_POSITIONS angstrom
V 0.000 0.000 0.000
V 0.000 3.812 1.370
Hg 1.906 -1.839 2.055
Hg 1.974 1.906 0.685
Hg 1.906 5.651 -0.685
Hg 1.839 1.906 3.424
Rh 3.812 0.000 1.370
Rh 0.000 0.000 2.740
CELL_PARAMETERS angstrom
-3.812 3.812 2.740
3.812 -3.812 2.740
3.812 3.812 -2.740
```

- SG: I-42d, No. 122
- Fermi-level density of states: 5.178 states/eV/f.u.
- Energy above the lowest structure with this stoichiometry: 0.304 eV/atom
- Magnetization: 5.69 μB/cell



# 6
# V3HgRh

A relaxed V3HgRh crystal (PBE, Alexandria via LeMat-Bulk). Values from VASP.

```
&SYSTEM
  ibrav = 0, nat = 5, ntyp = 3
/
ATOMIC_SPECIES
V 50.94 V.upf
Hg 200.59 Hg.upf
Rh 102.91 Rh.upf
ATOMIC_POSITIONS angstrom
V 0.000 0.000 2.290
V 0.000 2.290 0.000
V 2.290 0.000 0.000
Hg 2.290 2.290 2.290
Rh 0.000 0.000 0.000
CELL_PARAMETERS angstrom
4.579 0.000 0.000
0.000 4.579 0.000
0.000 0.000 4.579
```

- SG: Pm-3m, No. 221
- Fermi-level density of states: 7.517 states/eV/f.u.
- Energy above the lowest structure with this stoichiometry: 0.000 eV/atom
- Magnetization: 0.69 μB/cell



Number 1: calculated formation energy 18 meV per atom. Number 2: calculated formation energy 9 meV per atom. Number 3: calculated formation energy -197 meV per atom. Number 4: calculated formation energy -72 meV per atom. Number 5: calculated formation energy 601 meV per atom. Number 6: calculated formation energy 944 meV per atom.